# 1
Compound: K2SrTe
Source: Alexandria
Functional: PBE-GGA
Structure: relaxed

uncorrected formation energy	-0.7076	eV per atom
magnetic moment	0.43	μB per formula unit
VASP energy	-2.46	eV/atom

POSCAR file:
```
K2SrTe
1.0
2.420 1.397 11.659
-2.420 1.397 11.659
0.000 -2.794 11.659
K Sr Te
2 1 1
direct
0.000 0.000 0.000 K
0.216 0.216 0.216 K
0.775 0.775 0.775 Sr
0.489 0.489 0.489 Te
```

# 2
Compound: Dy2TiS5
Source: Alexandria
Functional: PBE-GGA
Structure: relaxed

uncorrected formation energy	-1.6646	eV per atom
magnetic moment	0.00	μB per formula unit
VASP energy	-6.38	eV/atom

POSCAR file:
```
Dy2TiS5
1.0
2.581 -6.517 0.000
2.581 6.517 0.000
0.000 0.000 12.393
Dy Ti S
4 2 10
direct
0.151 0.849 0.566 Dy
0.151 0.849 0.934 Dy
0.849 0.151 0.066 Dy
0.849 0.151 0.434 Dy
0.180 0.820 0.250 Ti
0.820 0.180 0.750 Ti
0.049 0.951 0.124 S
0.049 0.951 0.376 S
0.275 0.725 0.750 S
0.304 0.696 0.091 S
0.304 0.696 0.409 S
0.696 0.304 0.591 S
0.696 0.304 0.909 S
0.725 0.275 0.250 S
0.951 0.049 0.624 S
0.951 0.049 0.876 S
```

# 3
Compound: In2PdPt2
Source: Alexandria
Functional: PBE-GGA
Structure: relaxed

magnetic moment	0.00	μB per formula unit
ΔE to the lowest computed polymorph	0.12	eV per formula unit
DFT formation energy	-394	meV/atom
VASP energy	-4.94	eV/atom

POSCAR file:
```
In2PdPt2
1.0
2.257 1.303 4.996
-2.257 1.303 4.996
0.000 -2.606 4.996
In Pd Pt
2 1 2
direct
0.101 0.101 0.101 In
0.899 0.899 0.899 In
0.500 0.500 0.500 Pd
0.291 0.291 0.291 Pt
0.709 0.709 0.709 Pt
```

# 4
Compound: LaPm7Y4
Source: Alexandria
Functional: PBE-GGA
Structure: relaxed

magnetic moment	0.01	μB per formula unit
ΔE to the lowest computed polymorph	2.79	eV per formula unit
DFT formation energy	231	meV/atom
VASP energy	-5.11	eV/atom

POSCAR file:
```
LaPm7Y4
1.0
6.077 -3.026 0.000
6.077 3.026 0.000
-6.038 0.000 11.336
La Pm Y
1 7 4
direct
0.000 0.000 0.000 La
0.059 0.059 0.332 Pm
0.208 0.208 0.920 Pm
0.369 0.369 0.497 Pm
0.500 0.500 0.000 Pm
0.631 0.631 0.503 Pm
0.792 0.792 0.080 Pm
0.941 0.941 0.668 Pm
0.254 0.254 0.685 Y
0.366 0.366 0.225 Y
0.634 0.634 0.775 Y
0.746 0.746 0.315 Y
```

# 5
Compound: NiAg3Pt
Source: Alexandria
Functional: PBE-GGA
Structure: relaxed

magnetic moment	0.55	μB per formula unit
ΔE to the lowest computed polymorph	0.00	eV per formula unit
DFT formation energy	1022	meV/atom
VASP energy	-3.05	eV/atom

POSCAR file:
```
NiAg3Pt
1.0
4.661 0.000 0.000
0.000 4.661 0.000
0.000 0.000 4.661
Ni Ag Pt
1 3 1
direct
0.000 0.000 0.000 Ni
0.000 0.000 0.500 Ag
0.000 0.500 0.000 Ag
0.500 0.000 0.000 Ag
0.500 0.500 0.500 Pt
```

# 6
Compound: YI2
Source: Alexandria
Functional: PBE-GGA
Structure: relaxed

uncorrected formation energy	-1.2628	eV per atom
magnetic moment	0.99	μB per formula unit
VASP energy	-4.45	eV/atom

POSCAR file:
```
YI2
1.0
2.053 -3.555 0.000
2.053 3.555 0.000
0.000 0.000 33.305
Y I
4 8
direct
0.241 0.243 0.123 Y
0.243 0.241 0.877 Y
0.757 0.759 0.377 Y
0.759 0.757 0.623 Y
0.090 0.426 0.437 I
0.091 0.426 0.316 I
0.426 0.090 0.563 I
0.426 0.091 0.684 I
0.574 0.909 0.184 I
0.574 0.910 0.063 I
0.909 0.574 0.816 I
0.910 0.574 0.937 I
```

# 7
Compound: LaCr2Co
Source: Alexandria
Functional: PBE-GGA
Structure: relaxed

magnetic moment	1.21	μB per formula unit
ΔE to the lowest computed polymorph	0.82	eV per formula unit
DFT formation energy	511	meV/atom
VASP energy	-7.31	eV/atom

POSCAR file:
```
LaCr2Co
1.0
3.174 0.000 0.000
0.000 3.174 0.000
0.000 0.000 6.788
La Cr Co
1 2 1
direct
0.000 0.000 0.000 La
0.500 0.500 0.352 Cr
0.500 0.500 0.648 Cr
0.000 0.000 0.500 Co
```

# 8
Compound: NaMg2TcC
Source: Alexandria
Functional: PBE-GGA
Structure: relaxed

magnetic moment	0.00	μB per formula unit
DFT formation energy	664	meV/atom
VASP energy	-4.16	eV/atom

POSCAR file:
```
NaMg2TcC
1.0
5.170 0.000 0.000
0.000 5.170 0.000
0.000 0.000 3.971
Na Mg Tc C
1 2 1 1
direct
0.000 0.000 0.000 Na
0.000 0.500 0.500 Mg
0.500 0.000 0.500 Mg
0.500 0.500 0.500 Tc
0.500 0.500 0.000 C
```

Question: Look up the magnetic moment of the first one.
Answer: 0.43 μB per formula unit